Entry 1:
A crystal of BaAg2Cl relaxed with PBEsol. Source: the Alexandria database, functional SCAN.

```
BaAg2Cl
1.0
-2.382 3.468 2.519
-4.443 -1.485 2.616
0.552 -0.031 5.337
Ba Ag Cl
1 2 1
direct
0.494 0.506 0.506
0.956 0.044 0.044
0.304 0.196 0.196
0.746 0.754 0.754
```

Calculated values
Formation energy without anion corrections in eV per atom: -0.698
Relative energy among the computed polymorphs in eV per atom: 0.088
Total moment in μB per cell: 0.00

***

Entry 2:
A crystal of Ba2AgCl relaxed with PBEsol. Source: the Alexandria database, functional SCAN.

```
Ba2AgCl
1.0
-3.788 0.180 -1.798
-0.890 -4.009 1.476
-1.171 3.086 7.677
Ba Ag Cl
2 1 1
direct
0.035 0.500 0.071
0.286 0.000 0.573
0.701 0.500 0.401
0.477 0.000 0.955
```

Calculated values
Formation energy without anion corrections in eV per atom: -1.067
Relative energy among the computed polymorphs in eV per atom: 0.061
Total moment in μB per cell: 0.00

***

Entry 3:
A crystal of Ba2AgCl relaxed with PBEsol. Source: the Alexandria database, functional SCAN.

```
Ba2AgCl
1.0
4.554 0.000 0.000
2.277 3.944 0.000
2.277 1.315 8.065
Ba Ag Cl
2 1 1
direct
0.253 0.253 0.241
0.747 0.747 0.759
0.000 0.000 0.000
0.500 0.500 0.500
```

Calculated values
Formation energy without anion corrections in eV per atom: -1.129
Relative energy among the computed polymorphs in eV per atom: 0.000
Total moment in μB per cell: 0.00

***

Entry 4:
A crystal of BaAg2Cl relaxed with PBEsol. Source: the Alexandria database, functional SCAN.

```
BaAg2Cl
1.0
4.823 0.000 0.000
2.412 4.177 0.000
2.412 1.392 5.353
Ba Ag Cl
1 2 1
direct
0.500 0.500 0.500
0.290 0.290 0.130
0.710 0.710 0.870
0.000 0.000 0.000
```

Calculated values
Formation energy without anion corrections in eV per atom: -0.276
Relative energy among the computed polymorphs in eV per atom: 0.509
Total moment in μB per cell: 0.00

***

Entry 5:
A crystal of BaAg2Cl relaxed with PBEsol. Source: the Alexandria database, functional SCAN.

```
BaAg2Cl
1.0
4.161 0.000 0.000
0.000 4.205 0.059
0.000 -0.083 5.956
Ba Ag Cl
1 2 1
direct
0.500 0.000 0.500
0.000 0.000 0.000
0.500 0.500 0.000
0.000 0.500 0.500
```

Calculated values
Formation energy without anion corrections in eV per atom: -0.786
Relative energy among the computed polymorphs in eV per atom: 0.000
Total moment in μB per cell: 0.00

***

Entry 6:
A crystal of Ba2AgCl relaxed with PBEsol. Source: the Alexandria database, functional SCAN.

```
Ba2AgCl
1.0
5.658 0.000 0.000
2.829 4.900 0.000
2.829 1.633 4.620
Ba Ag Cl
2 1 1
direct
0.250 0.250 0.250
0.750 0.750 0.750
0.000 0.000 0.000
0.500 0.500 0.500
```

Calculated values
Formation energy without anion corrections in eV per atom: -0.936
Relative energy among the computed polymorphs in eV per atom: 0.193
Total moment in μB per cell: 1.35

***

Entry 7:
A crystal of Ba3AgCl relaxed with PBEsol. Source: the Alexandria database, functional SCAN.

```
Ba3AgCl
1.0
6.358 0.000 0.000
0.000 6.358 0.000
0.000 0.000 6.358
Ba Ag Cl
3 1 1
direct
0.000 0.500 0.000
0.000 0.000 0.500
0.500 0.000 0.000
0.000 0.000 0.000
0.500 0.500 0.500
```

Calculated values
Formation energy without anion corrections in eV per atom: -0.436
Total moment in μB per cell: 0.02

***

Entry 8:
A crystal of BaAgSn2Cl relaxed with PBEsol. Source: the Alexandria database, functional SCAN.

```
BaAgSn2Cl
1.0
5.572 0.000 0.000
0.000 6.421 0.000
0.000 0.000 6.421
Cl Ba Ag Sn
1 1 1 2
direct
0.500 0.000 0.000
0.000 0.000 0.000
0.500 0.500 0.500
0.000 0.000 0.500
0.000 0.500 0.000
```

Calculated values
Formation energy without anion corrections in eV per atom: 0.514
Total moment in μB per cell: 0.02

***

Entry 9:
A crystal of BaCoAg2 relaxed with PBEsol. Source: the Alexandria database, functional SCAN.

```
BaCoAg2
1.0
-2.263 3.651 2.135
-3.225 -2.422 0.724
1.631 -1.092 3.597
Co Ba Ag
1 1 2
direct
0.500 0.500 0.500
0.500 0.000 0.000
0.000 0.500 0.000
0.000 0.000 0.500
```

Calculated values
Relative energy among the computed polymorphs in eV per atom: 0.503
Total moment in μB per cell: 1.64

***

Entry 10:
A crystal of BaCoAg2 relaxed with PBEsol. Source: the Alexandria database, functional SCAN.

```
BaCoAg2
1.0
-4.054 -0.007 -0.625
0.620 -0.533 -4.019
1.629 -4.565 2.949
Co Ba Ag
1 1 2
direct
0.000 0.000 0.000
0.500 0.500 0.000
0.750 0.250 0.500
0.250 0.750 0.500
```

Calculated values
Relative energy among the computed polymorphs in eV per atom: 0.394
Total moment in μB per cell: 1.48

***

Entry 11:
A crystal of BaCoAg2 relaxed with PBEsol. Source: the Alexandria database, functional SCAN.

```
BaCoAg2
1.0
3.293 0.000 0.000
0.000 3.293 0.000
0.000 0.000 7.584
Co Ba Ag
1 1 2
direct
0.500 0.500 0.500
0.500 0.500 0.000
0.000 0.000 0.677
0.000 0.000 0.323
```

Calculated values
Relative energy among the computed polymorphs in eV per atom: 0.203
Total moment in μB per cell: 1.81

***

Entry 12:
A crystal of BaCoAg relaxed with PBEsol. Source: the Alexandria database, functional SCAN.

```
BaCoAg
1.0
3.493 0.000 0.000
0.000 3.592 0.000
-1.746 -1.796 5.455
Co Ba Ag
1 1 1
direct
0.383 0.383 0.766
0.667 0.667 0.333
0.950 0.950 0.901
```

Calculated values
Energy in eV per atom: -29.072
Total moment in μB per cell: 1.83

***

Entry 13:
A crystal of BaCoAg2 relaxed with PBEsol. Source: the Alexandria database, functional SCAN.

```
BaCoAg2
1.0
-4.046 0.385 1.940
-0.461 -0.756 4.416
-0.523 5.128 3.119
Co Ba Ag
1 1 2
direct
0.318 0.318 0.046
0.501 0.500 0.498
0.988 0.988 0.037
0.694 0.694 0.918
```

Calculated values
Relative energy among the computed polymorphs in eV per atom: 0.000
Total moment in μB per cell: 1.72

***

Entry 14:
A crystal of BaInCo2Ag relaxed with PBEsol. Source: the Alexandria database, functional SCAN.

```
BaInCo2Ag
1.0
4.857 0.000 0.000
0.000 4.857 0.000
0.000 0.000 5.676
Co Ba Ag In
2 1 1 1
direct
0.000 0.500 0.000
0.500 0.000 0.000
0.000 0.000 0.500
0.000 0.000 0.000
0.500 0.500 0.500
```

Calculated values
Energy in eV per atom: -26.916
Total moment in μB per cell: 3.57

***

Entry 15:
A crystal of BaCr3Ag relaxed with PBEsol. Source: the Alexandria database, functional SCAN.

```
BaCr3Ag
1.0
-4.816 -1.045 -0.001
0.375 -1.733 4.598
-0.976 4.494 1.773
Cr Ba Ag
3 1 1
direct
0.000 0.500 0.000
0.000 0.000 0.500
0.500 0.000 0.000
0.000 0.000 0.000
0.500 0.500 0.500
```

Calculated values
Energy in eV per atom: -22.954
Total moment in μB per cell: 11.08

***

Entry 16:
A crystal of Ba2CrInAg relaxed with PBEsol. Source: the Alexandria database, functional SCAN.

```
Ba2CrInAg
1.0
-2.574 1.473 4.114
-5.455 0.222 -3.492
-1.194 -6.198 1.472
Cr Ba Ag In
1 2 1 1
direct
0.500 0.500 0.500
0.000 0.000 0.500
0.000 0.500 0.000
0.500 0.000 0.000
0.000 0.000 0.000
```

Calculated values
Energy in eV per atom: -32.087
Total moment in μB per cell: 5.01

***

Entry 17:
A crystal of BaCrTcAg2 relaxed with PBEsol. Source: the Alexandria database, functional SCAN.

```
BaCrTcAg2
1.0
4.395 0.000 0.000
0.000 5.244 0.000
0.000 0.000 5.244
Cr Ba Ag Tc
1 1 2 1
direct
0.500 0.000 0.000
0.500 0.500 0.500
0.000 0.000 0.500
0.000 0.500 0.000
0.000 0.000 0.000
```

Calculated values
Energy in eV per atom: -30.616
Total moment in μB per cell: 2.09

***

Entry 18:
A crystal of CsBa3Ag relaxed with PBEsol. Source: the Alexandria database, functional SCAN.

```
CsBa3Ag
1.0
6.624 0.000 0.000
0.000 6.624 0.000
0.000 0.000 6.624
Cs Ba Ag
1 3 1
direct
0.500 0.500 0.500
0.000 0.500 0.000
0.000 0.000 0.500
0.500 0.000 0.000
0.000 0.000 0.000
```

Calculated values
Energy in eV per atom: -37.595
Total moment in μB per cell: 0.01

***

Entry 19:
A crystal of Ba2CuAg relaxed with PBEsol. Source: the Alexandria database, functional SCAN.

```
Ba2CuAg
1.0
4.403 0.000 0.000
0.000 4.466 0.000
-2.202 -2.233 7.526
Ag Ba Cu
1 2 1
direct
0.332 0.832 0.664
0.999 0.999 0.998
0.752 0.252 0.504
0.417 0.417 0.834
```

Calculated values
Energy in eV per atom: -31.457
Total moment in μB per cell: 0.00

***

Entry 20:
A crystal of Ba2CuAg relaxed with PBEsol. Source: the Alexandria database, functional SCAN.

```
Ba2CuAg
1.0
-3.000 -1.036 2.311
0.283 -3.697 -1.290
5.058 -1.646 5.828
Ag Ba Cu
1 2 1
direct
0.500 0.500 0.500
0.000 0.000 0.760
0.000 0.000 0.240
0.500 0.500 0.000
```

Calculated values
Energy in eV per atom: -31.466
Total moment in μB per cell: 0.01

***

Entry 21:
A crystal of Ba2CuAg relaxed with PBEsol. Source: the Alexandria database, functional SCAN.

```
Ba2CuAg
1.0
4.566 0.000 0.000
0.000 4.657 0.000
-2.283 0.000 6.180
Ag Ba Cu
1 2 1
direct
0.319 0.000 0.637
0.014 0.000 0.029
0.737 0.500 0.474
0.430 0.500 0.860
```

Calculated values
Energy in eV per atom: -31.521
Total moment in μB per cell: 0.00

***

Entry 22:
A crystal of BaCuAg2 relaxed with PBEsol. Source: the Alexandria database, functional SCAN.

```
BaCuAg2
1.0
4.206 0.000 0.000
0.000 4.206 0.000
0.000 0.000 5.234
Ag Ba Cu
2 1 1
direct
0.000 0.500 0.000
0.500 0.000 0.000
0.500 0.500 0.500
0.000 0.000 0.500
```

Calculated values
Energy in eV per atom: -29.049
Total moment in μB per cell: 0.00

***

Entry 23:
A crystal of BaCuAgIr2 relaxed with PBEsol. Source: the Alexandria database, functional SCAN.

```
BaCuAgIr2
1.0
-3.358 2.258 -3.030
-1.254 -4.489 -1.956
-3.816 -0.587 3.792
Ir Ba Ag Cu
2 1 1 1
direct
0.000 0.500 0.000
0.500 0.000 0.000
0.000 0.000 0.000
0.000 0.000 0.500
0.500 0.500 0.500
```

Calculated values
Energy in eV per atom: -42.966
Total moment in μB per cell: 0.00

***

Entry 24:
A crystal of BaCuNi2Ag relaxed with PBEsol. Source: the Alexandria database, functional SCAN.

```
BaCuNi2Ag
1.0
4.799 0.000 0.000
0.000 4.799 0.000
0.000 0.000 5.172
Ni Cu Ba Ag
2 1 1 1
direct
0.000 0.500 0.000
0.500 0.000 0.000
0.000 0.000 0.500
0.000 0.000 0.000
0.500 0.500 0.500
```

Calculated values
Energy in eV per atom: -21.744
Total moment in μB per cell: 0.00

***

Entry 25:
A crystal of BaCuTc2Ag relaxed with PBEsol. Source: the Alexandria database, functional SCAN.

```
BaCuTc2Ag
1.0
4.640 0.000 0.000
0.000 4.640 0.000
0.000 0.000 5.539
Cu Ba Ag Tc
1 1 1 2
direct
0.000 0.000 0.000
0.000 0.000 0.500
0.500 0.500 0.500
0.000 0.500 0.000
0.500 0.000 0.000
```

Calculated values
Energy in eV per atom: -29.836
Total moment in μB per cell: 5.91

***

Entry 26:
A crystal of BaAgF2 relaxed with PBEsol. Source: the Alexandria database, functional SCAN.

```
BaAgF2
1.0
4.111 0.000 0.000
2.056 3.560 0.000
2.056 1.187 6.378
Ba Ag F
1 1 2
direct
0.000 0.000 0.000
0.500 0.500 0.500
0.874 0.874 0.378
0.126 0.126 0.622
```

Calculated values
Formation energy without anion corrections in eV per atom: -1.722
Total moment in μB per cell: 0.54

***

Entry 27:
A crystal of BaMgAgF7 relaxed with PBEsol. Source: the Alexandria database, functional SCAN.

```
BaMgAgF7
1.0
5.615 0.012 0.000
-0.506 9.710 0.000
0.000 0.000 9.972
Ba Mg Ag F
4 4 4 28
direct
0.268 0.498 0.678
0.732 0.002 0.178
0.732 0.502 0.322
0.268 0.998 0.822
0.692 0.808 0.606
0.308 0.692 0.106
0.692 0.308 0.894
0.308 0.192 0.394
0.194 0.816 0.389
0.806 0.184 0.611
0.194 0.316 0.111
0.806 0.684 0.889
0.135 0.119 0.552
0.373 0.378 0.939
0.488 0.751 0.280
0.512 0.249 0.720
0.901 0.376 0.540
0.259 0.509 0.201
0.020 0.752 0.211
0.099 0.124 0.040
0.373 0.878 0.561
0.512 0.749 0.780
0.135 0.619 0.948
0.865 0.881 0.448
0.980 0.748 0.711
0.400 0.869 0.037
0.099 0.624 0.460
0.901 0.876 0.960
0.980 0.248 0.789
0.865 0.381 0.052
0.600 0.631 0.537
0.627 0.622 0.061
0.600 0.131 0.963
0.020 0.252 0.289
0.400 0.369 0.463
0.741 0.991 0.701
0.741 0.491 0.799
0.259 0.009 0.299
0.627 0.122 0.439
0.488 0.251 0.220
```

Calculated values
Formation energy without anion corrections in eV per atom: -2.845
Total moment in μB per cell: 8.00

***

Entry 28:
A crystal of BaAgNF2 relaxed with PBEsol. Source: the Alexandria database, functional SCAN.

```
BaAgNF2
1.0
3.989 0.000 0.000
0.000 4.506 0.000
0.000 0.000 4.506
N Ba Ag F
1 1 1 2
direct
0.500 0.000 0.000
0.500 0.500 0.500
0.000 0.000 0.000
0.000 0.000 0.500
0.000 0.500 0.000
```

Calculated values
Formation energy without anion corrections in eV per atom: -1.376
Total moment in μB per cell: 1.15